(1)
Computed, not measured: a crystal of CrPt3Cl relaxed with PBEsol at the meta-GGA SCAN level of DFT.

Summary:
symmetry: Pm-3m (221)
calculated volume: 89 Å³/f.u.
formation energy from raw total energies: 0.962 eV per atom

Lattice parameters (Å, degrees): 4.4641 4.4641 4.4641 90.00 90.00 90.00
Fractional coordinates of all 5 atoms:
Cr (0.5000, 0.5000, 0.5000)
Pt (0.0000, 0.5000, 0.0000)
Pt (0.0000, 0.0000, 0.5000)
Pt (0.5000, 0.0000, 0.0000)
Cl (0.0000, 0.0000, 0.0000)

(2)
Computed, not measured: a crystal of CrPtCl relaxed with PBEsol at the meta-GGA SCAN level of DFT.

Summary:
symmetry: I4mm (107)
calculated volume: 50 Å³/f.u.
formation energy from raw total energies: -0.212 eV per atom

Lattice parameters (Å, degrees): 2.8959 2.8959 6.3462 103.19 103.19 90.00
Fractional coordinates of all 3 atoms:
Cr (0.6657, 0.6657, 0.3313)
Pt (0.2967, 0.2967, 0.5934)
Cl (0.0376, 0.0376, 0.0753)

(3)
Computed, not measured: a crystal of Rb2CrCl4 relaxed with PBEsol at the meta-GGA SCAN level of DFT.

Summary:
symmetry: I4/mmm (139)
calculated volume: 193 Å³/f.u.
formation energy from raw total energies: -1.876 eV per atom

Lattice parameters (Å, degrees): 4.9487 4.9487 8.6330 106.66 106.66 90.00
Fractional coordinates of all 7 atoms:
Cr (0.0000, 0.0000, 0.0000)
Rb (0.3596, 0.3596, 0.7192)
Rb (0.6404, 0.6404, 0.2808)
Cl (0.0000, 0.5000, 0.0000)
Cl (0.1531, 0.1531, 0.3061)
Cl (0.5000, 0.0000, 0.0000)
Cl (0.8469, 0.8469, 0.6939)